Entry 1:
This record from Alexandria describes an optimized crystal structure of KGd2N. The functional is GGA-PBE.

- formation energy (no corrections) (eV/atom) = -0.574
- ρ (Mg/m³) = 5.3
- E_tot (eV for the cell shown) = -39.88

The structure in CIF format:
```
data_KGd2N
_cell_length_a 10.435
_cell_length_b 10.435
_cell_length_c 10.435
_cell_angle_alpha 19.91
_cell_angle_beta 19.91
_cell_angle_gamma 19.91
_space_group_name_H-M_alt 'P 1'
_space_group_IT_number 1
_space_group_name_Hall 'P 1'
loop_
_atom_site_label
_atom_site_type_symbol
_atom_site_fract_x
_atom_site_fract_y
_atom_site_fract_z
K1 K 0.000 0.000 0.000
Gd1 Gd 0.124 0.124 0.124
Gd2 Gd 0.876 0.876 0.876
N1 N 0.500 0.500 0.500
```

=====

Entry 2:
This record from Alexandria describes an optimized crystal structure of KNa2Gd. The functional is GGA-PBE.

- energy relative to the elements (eV/atom) = 0.301
- ρ (Mg/m³) = 2.4
- E_tot (eV for the cell shown) = -16.61

The structure in CIF format:
```
data_KNa2Gd
_cell_length_a 14.377
_cell_length_b 14.377
_cell_length_c 14.377
_cell_angle_alpha 14.75
_cell_angle_beta 14.75
_cell_angle_gamma 14.75
_space_group_name_H-M_alt 'P 1'
_space_group_IT_number 1
_space_group_name_Hall 'P 1'
loop_
_atom_site_label
_atom_site_type_symbol
_atom_site_fract_x
_atom_site_fract_y
_atom_site_fract_z
K1 K 0.000 0.000 0.000
Na1 Na 0.418 0.418 0.418
Na2 Na 0.582 0.582 0.582
Gd1 Gd 0.500 0.500 0.500
```

=====

Entry 3:
This record from Alexandria describes an optimized crystal structure of K2NaGd. The functional is GGA-PBE.

- energy relative to the elements (eV/atom) = 0.334
- ρ (Mg/m³) = 2.3
- E_tot (eV for the cell shown) = -16.26

The structure in CIF format:
```
data_K2NaGd
_cell_length_a 14.906
_cell_length_b 14.906
_cell_length_c 14.906
_cell_angle_alpha 14.83
_cell_angle_beta 14.83
_cell_angle_gamma 14.83
_space_group_name_H-M_alt 'P 1'
_space_group_IT_number 1
_space_group_name_Hall 'P 1'
loop_
_atom_site_label
_atom_site_type_symbol
_atom_site_fract_x
_atom_site_fract_y
_atom_site_fract_z
K1 K 0.086 0.086 0.086
K2 K 0.914 0.914 0.914
Na1 Na 0.500 0.500 0.500
Gd1 Gd 0.000 0.000 0.000
```

=====

Entry 4:
This record from Alexandria describes an optimized crystal structure of KNaGdTaO5. The functional is GGA-PBE.

- formation energy (no corrections) (eV/atom) = -2.735
- ρ (Mg/m³) = 5.8
- E_tot (eV for the cell shown) = -155.51

The structure in CIF format:
```
data_KNaGdTaO5
_cell_length_a 5.719
_cell_length_b 5.719
_cell_length_c 8.344
_cell_angle_alpha 90.00
_cell_angle_beta 90.00
_cell_angle_gamma 90.00
_space_group_name_H-M_alt 'P 1'
_space_group_IT_number 1
_space_group_name_Hall 'P 1'
loop_
_atom_site_label
_atom_site_type_symbol
_atom_site_fract_x
_atom_site_fract_y
_atom_site_fract_z
K1 K 0.250 0.750 0.000
K2 K 0.750 0.250 0.000
Na1 Na 0.250 0.250 0.241
Na2 Na 0.750 0.750 0.759
Gd1 Gd 0.250 0.750 0.500
Gd2 Gd 0.750 0.250 0.500
Ta1 Ta 0.250 0.250 0.738
Ta2 Ta 0.750 0.750 0.262
O1 O 0.018 0.018 0.666
O2 O 0.018 0.482 0.666
O3 O 0.250 0.250 0.962
O4 O 0.482 0.018 0.666
O5 O 0.482 0.482 0.666
O6 O 0.518 0.518 0.334
O7 O 0.518 0.982 0.334
O8 O 0.750 0.750 0.038
O9 O 0.982 0.518 0.334
O10 O 0.982 0.982 0.334
```

=====

Entry 5:
This record from Alexandria describes an optimized crystal structure of KGdNb2O6. The functional is GGA-PBE.

- formation energy (no corrections) (eV/atom) = -2.550
- ρ (Mg/m³) = 5.9
- E_tot (eV for the cell shown) = -90.56

The structure in CIF format:
```
data_KGdNb2O6
_cell_length_a 5.741
_cell_length_b 5.741
_cell_length_c 5.741
_cell_angle_alpha 60.00
_cell_angle_beta 60.00
_cell_angle_gamma 60.00
_space_group_name_H-M_alt 'P 1'
_space_group_IT_number 1
_space_group_name_Hall 'P 1'
loop_
_atom_site_label
_atom_site_type_symbol
_atom_site_fract_x
_atom_site_fract_y
_atom_site_fract_z
K1 K 0.000 0.000 0.000
Gd1 Gd 0.500 0.500 0.500
Nb1 Nb 0.250 0.250 0.250
Nb2 Nb 0.750 0.750 0.750
O1 O 0.000 0.000 0.500
O2 O 0.000 0.500 0.000
O3 O 0.000 0.500 0.500
O4 O 0.500 0.000 0.000
O5 O 0.500 0.000 0.500
O6 O 0.500 0.500 0.000
```

=====

Entry 6:
This record from Alexandria describes an optimized crystal structure of KGdNb4O12. The functional is GGA-PBE.

- formation energy (no corrections) (eV/atom) = -2.617
- ρ (Mg/m³) = 5.0
- E_tot (eV for the cell shown) = -162.05

The structure in CIF format:
```
data_KGdNb4O12
_cell_length_a 7.955
_cell_length_b 5.622
_cell_length_c 5.622
_cell_angle_alpha 88.51
_cell_angle_beta 90.00
_cell_angle_gamma 90.00
_space_group_name_H-M_alt 'P 1'
_space_group_IT_number 1
_space_group_name_Hall 'P 1'
loop_
_atom_site_label
_atom_site_type_symbol
_atom_site_fract_x
_atom_site_fract_y
_atom_site_fract_z
K1 K 0.000 0.000 0.000
Gd1 Gd 0.500 0.549 0.549
Nb1 Nb 0.248 0.015 0.505
Nb2 Nb 0.248 0.505 0.015
Nb3 Nb 0.752 0.015 0.505
Nb4 Nb 0.752 0.505 0.015
O1 O 0.000 0.059 0.493
O2 O 0.000 0.493 0.059
O3 O 0.232 0.745 0.745
O4 O 0.261 0.253 0.801
O5 O 0.261 0.801 0.253
O6 O 0.304 0.323 0.323
O7 O 0.500 0.554 0.967
O8 O 0.500 0.967 0.554
O9 O 0.696 0.323 0.323
O10 O 0.739 0.253 0.801
O11 O 0.739 0.801 0.253
O12 O 0.768 0.745 0.745
```